No. 1
Below is an optimized crystal structure of InHg2IN, with properties calculated at the GGA-PBE level.

## Properties
Uncorrected formation energy: 0.939 eV per atom
Density: 6.007 g cm⁻³

a b c (Å): 6.6718 6.6718 4.0792
angles (deg): 90.00 90.00 90.00
Last column: nearest neighbours and their distance in Å.
Space group P4/mmm (No. 123)
Unique sites:
1 In 0.0000 0.0000 0.0000 x1  8 Hg 3.91, 2 In 4.08
2 Hg 0.0000 0.5000 0.5000 x2  2 I 3.34
3 I 0.5000 0.5000 0.5000 x1  2 N 2.04
4 N 0.5000 0.5000 0.0000 x1  2 I 2.04

=====

No. 2
Below is an optimized crystal structure of Mg2Tl2N, with properties calculated at the GGA-PBE level.

## Properties
Uncorrected formation energy: 0.083 eV per atom
Density: 6.936 g cm⁻³

a b c (Å): 5.9877 5.9877 6.2955
angles (deg): 90.00 90.00 90.00
Last column: nearest neighbours and their distance in Å.
Space group P4/mbm (No. 127)
Unique sites:
1 Mg 0.2180 0.2820 0.0000 x4  2 N 2.13
2 Tl 0.1804 0.6804 0.5000 x4  5 Tl 3.06-3.11, 2 Mg 3.26
3 N 0.0000 0.0000 0.0000 x2  4 Mg 2.13